{"formula": "Sc2Tc", "functional": "GGA-PBEsol", "state": "relaxed", "e_tot_ev_per_atom": -8.31, "relative_energy_mev_per_atom": 21, "total_magnetization_mub_per_atom": 0.0000, "formation_energy_ev_per_fu": -0.5, "lattice_angstrom": [[-0.2950, -4.4490, 0.1119], [1.6888, 0.0285, 5.5846], [-8.0749, 0.5967, 2.4389]], "species": ["Sc", "Sc", "Tc", "Sc", "Tc", "Sc", "Tc", "Sc", "Sc", "Sc", "Sc", "Tc"], "fractional_positions": [[0.7500, 0.8291, 0.4373], [0.2500, 0.5436, 0.2886], [0.2500, 0.1811, 0.8910], [0.7500, 0.3291, 0.0627], [0.2500, 0.6811, 0.6090], [0.2500, 0.6709, 0.9373], [0.7500, 0.8189, 0.1090], [0.7500, 0.9564, 0.7886], [0.2500, 0.1709, 0.5627], [0.7500, 0.4564, 0.7114], [0.2500, 0.0436, 0.2114], [0.7500, 0.3189, 0.3910]]}